No. 1
The following is a GGA-PBE calculation of a relaxed Pr2Al3Zn2 crystal, from Alexandria via LeMat-Bulk.

Cell lengths 4.5195, 7.1240, 9.9462 Å; angles 90.00, 103.13, 90.00 degrees
Closest atoms and distances in Å follow each position.
Fractional coordinates of all 14 atoms:
Pr  0.0492  0.7500  0.0985  9 Al 3.22-3.35
Al  0.7786  0.2500  0.5572  6 Zn 2.71-2.91
Al  0.5604  0.0710  0.1208  2 Al 2.55, 1 Zn 2.57
Zn  0.3167  0.0665  0.6334  3 Al 2.57-2.71, 1 Zn 2.61
Pr  0.8387  0.7500  0.6774  6 Al 3.20-3.25, 6 Zn 3.22-3.28
Al  0.4396  0.5710  0.8792  2 Al 2.55, 1 Zn 2.57
Zn  0.3167  0.4335  0.6334  3 Al 2.57-2.71, 1 Zn 2.61
Al  0.4396  0.9290  0.8792  2 Al 2.55, 1 Zn 2.57
Al  0.2214  0.7500  0.4428  6 Zn 2.71-2.91
Zn  0.6833  0.9335  0.3666  3 Al 2.57-2.71, 1 Zn 2.61
Zn  0.6833  0.5665  0.3666  3 Al 2.57-2.71, 1 Zn 2.61
Pr  0.9508  0.2500  0.9015  9 Al 3.22-3.35
Al  0.5604  0.4290  0.1208  2 Al 2.55, 1 Zn 2.57
Pr  0.1613  0.2500  0.3226  6 Al 3.20-3.25, 6 Zn 3.22-3.28

Computed properties:
Crystal system: orthorhombic
Fermi-level density of states, states/eV/cell: 6.35
Uncorrected energy, eV per atom: -3.737
DFT formation energy, meV per atom: -403
Space-group type: Cmcm, No. 63

No. 2
The following is a GGA-PBE calculation of a relaxed KTl2GaCl6 crystal, from Alexandria via LeMat-Bulk.

Cell lengths 7.7220, 7.1932, 7.1932 Å; angles 120.00, 90.00, 90.00 degrees
Closest atoms and distances in Å follow each position.
Fractional coordinates of all 10 atoms:
Tl  0.1100  0.3333  0.6667  3 Cl 3.14
Cl  0.8190  0.6850  0.8425  1 Ga 2.41
Cl  0.1810  0.8425  0.6850  1 Ga 2.41
Ga  0.0000  0.0000  0.0000  6 Cl 2.41
Cl  0.1810  0.8425  0.1575  1 Ga 2.41
Tl  0.8900  0.6667  0.3333  3 Cl 3.14
Cl  0.8190  0.1575  0.3150  1 Ga 2.41
K  0.5000  0.0000  0.0000  6 Cl 3.15
Cl  0.1810  0.3150  0.1575  1 Ga 2.41
Cl  0.8190  0.1575  0.8425  1 Ga 2.41

Computed properties:
Crystal system: trigonal
Raw formation energy, kJ/mol of atoms: -119.6
Fermi-level density of states, states/eV/cell: 0.00
Uncorrected energy, eV per atom: -3.233
Space-group type: P-3m1, No. 164

No. 3
The following is a GGA-PBE calculation of a relaxed PmNdCuSb crystal, from Alexandria via LeMat-Bulk.

Cell lengths 5.2794, 5.2794, 5.2794 Å; angles 60.00, 60.00, 60.00 degrees
Closest atoms and distances in Å follow each position.
Fractional coordinates of all 4 atoms:
Nd  0.0000  0.0000  0.0000  4 Cu 3.23, 4 Sb 3.23
Sb  0.2500  0.2500  0.2500  4 Nd 3.23, 4 Pm 3.23
Pm  0.5000  0.5000  0.5000  4 Sb 3.23, 4 Cu 3.23
Cu  0.7500  0.7500  0.7500  4 Nd 3.23, 4 Pm 3.23

Computed properties:
Crystal system: cubic
Raw formation energy, kJ/mol of atoms: -49.2
Fermi-level density of states, states/eV/cell: 3.48
Uncorrected energy, eV per atom: -4.944
Space-group type: F-43m, No. 216

No. 4
The following is a GGA-PBE calculation of a relaxed TmCdNi crystal, from Alexandria via LeMat-Bulk.

Cell lengths 5.6971, 4.8133, 4.8133 Å; angles 117.60, 90.00, 90.00 degrees
Closest atoms and distances in Å follow each position.
Fractional coordinates of all 6 atoms:
Tm  0.7500  0.3413  0.6587  5 Ni 2.81-2.86
Cd  0.5000  0.0000  0.0000  2 Cd 2.85, 2 Ni 2.96, 6 Tm 3.15
Ni  0.2500  0.3155  0.6845  5 Tm 2.81-2.86, 2 Cd 2.96
Cd  0.0000  0.0000  0.0000  2 Cd 2.85, 2 Ni 2.96, 6 Tm 3.15
Tm  0.2500  0.6587  0.3413  5 Ni 2.81-2.86
Ni  0.7500  0.6845  0.3155  5 Tm 2.81-2.86, 2 Cd 2.96

Computed properties:
Crystal system: orthorhombic
Fermi-level density of states, states/eV/cell: 4.40
Uncorrected energy, eV per atom: -4.021
DFT formation energy, meV per atom: -298
Space-group type: Cmcm, No. 63

No. 5
The following is a GGA-PBE calculation of a relaxed Mn2CdBr crystal, from Alexandria via LeMat-Bulk.

Cell lengths 3.1584, 4.9908, 4.9908 Å; angles 90.00, 90.00, 90.00 degrees
Closest atoms and distances in Å follow each position.
Fractional coordinates of all 4 atoms:
Br  0.5000  0.5000  0.0000  8 Mn 2.95, 2 Br 3.16
Mn  0.0000  0.0000  0.0000  4 Cd 2.95, 4 Br 2.95, 2 Mn 3.16
Mn  0.0000  0.5000  0.5000  4 Cd 2.95, 4 Br 2.95, 2 Mn 3.16
Cd  0.5000  0.0000  0.5000  8 Mn 2.95, 2 Cd 3.16

Computed properties:
Crystal system: tetragonal
Raw formation energy, kJ/mol of atoms: 47.2
Fermi-level density of states, states/eV/cell: 3.41
Uncorrected energy, eV per atom: -4.743
Space-group type: P4/mmm, No. 123

No. 6
The following is a GGA-PBE calculation of a relaxed Nd2MoN3 crystal, from Alexandria via LeMat-Bulk.

Cell lengths 3.5317, 3.9913, 6.9781 Å; angles 106.62, 104.66, 90.00 degrees
Closest atoms and distances in Å follow each position.
Fractional coordinates of all 6 atoms:
Mo  0.0000  0.0000  0.0000  4 N 2.00-2.05
N  0.0000  0.5000  0.0000  2 Mo 2.00
N  0.1589  0.1589  0.3178  1 Mo 2.05
N  0.8411  0.8411  0.6822  1 Mo 2.05
Nd  0.3521  0.3521  0.7042  7 N 2.49-2.67
Nd  0.6479  0.6479  0.2958  7 N 2.49-2.67

Computed properties:
Crystal system: orthorhombic
Raw formation energy, kJ/mol of atoms: -102.3
Fermi-level density of states, states/eV/cell: 3.30
Uncorrected energy, eV per atom: -8.617
Space-group type: Immm, No. 71

No. 7
The following is a GGA-PBE calculation of a relaxed BeTlCd2 crystal, from Alexandria via LeMat-Bulk.

Cell lengths 5.4435, 5.4435, 5.4435 Å; angles 133.20, 133.20, 68.34 degrees
Closest atoms and distances in Å follow each position.
Fractional coordinates of all 4 atoms:
Be  0.7500  0.2500  0.5000  4 Tl 3.06, 8 Cd 3.12
Cd  0.0000  0.0000  0.0000  4 Cd 3.06, 4 Tl 3.12, 4 Be 3.12
Tl  0.2500  0.7500  0.5000  4 Be 3.06, 8 Cd 3.12
Cd  0.5000  0.5000  0.0000  4 Cd 3.06, 4 Be 3.12, 4 Tl 3.12

Computed properties:
Crystal system: tetragonal
Fermi-level density of states, states/eV/cell: 1.36
Uncorrected energy, eV per atom: -1.508
DFT formation energy, meV per atom: 473
Space-group type: I4/mmm, No. 139

No. 8
The following is a GGA-PBE calculation of a relaxed Ca2In5Ag5 crystal, from Alexandria via LeMat-Bulk.

Cell lengths 4.6803, 6.0116, 10.1189 Å; angles 90.00, 90.00, 90.00 degrees
Closest atoms and distances in Å follow each position.
Fractional coordinates of all 12 atoms:
In  0.5000  0.7478  0.2387  5 Ag 2.85-2.93, 3 In 2.98-3.03
In  0.5000  0.5000  0.5000  4 Ag 2.89, 4 In 3.03
Ag  0.0000  0.5000  0.6674  6 In 2.89-2.93
In  0.5000  0.2522  0.7613  5 Ag 2.85-2.93, 3 In 2.98-3.03
Ca  0.0000  0.0000  0.5000  6 Ag 3.43-3.45, 4 In 3.81
Ag  0.0000  0.5000  0.3326  6 In 2.89-2.93
In  0.5000  0.7478  0.7613  5 Ag 2.85-2.93, 3 In 2.98-3.03
Ca  0.0000  0.5000  0.0000  6 Ag 3.37-3.42, 8 In 3.68
Ag  0.0000  0.0000  0.8387  2 Ag 2.85, 4 In 2.90
Ag  0.0000  0.0000  0.1613  2 Ag 2.85, 4 In 2.90
Ag  0.5000  0.0000  0.0000  4 In 2.85, 4 Ag 2.85
In  0.5000  0.2522  0.2387  5 Ag 2.85-2.93, 3 In 2.98-3.03

Computed properties:
Crystal system: orthorhombic
Fermi-level density of states, states/eV/cell: 6.69
Uncorrected energy, eV per atom: -2.845
DFT formation energy, meV per atom: -182
Space-group type: Pmmm, No. 47